[1]
# CoTc2Pb (PBE, optimized geometry)
data_CoTc2Pb
_chemical_formula_sum 'Co1 Tc2 Pb1'
_cell_length_a 5.0041
_cell_length_b 5.0041
_cell_length_c 5.0041
_cell_angle_alpha 134.81
_cell_angle_beta 134.81
_cell_angle_gamma 65.83
_space_group_name_H-M_alt 'P 1'
_space_group_IT_number 1
loop_
_space_group_symop_operation_xyz
'x,y,z'
loop_
_atom_site_label
_atom_site_type_symbol
_atom_site_fract_x
_atom_site_fract_y
_atom_site_fract_z
Co1 Co 0.0000 0.0000 0.0000
Tc1 Tc 0.2500 0.7500 0.5000
Tc2 Tc 0.7500 0.2500 0.5000
Pb1 Pb 0.5000 0.5000 0.0000
# * space group: I4/mmm (139)
# * density of states at the Fermi level: 6.2 states/eV/cell
# * theoretical density: 12.4 Mg/m³
# * crystal system: tetragonal
# * energy of formation: 585 meV/atom

[2]
# CoTc2Pb (PBE, optimized geometry)
data_CoTc2Pb
_chemical_formula_sum 'Co1 Tc2 Pb1'
_cell_length_a 3.0790
_cell_length_b 3.0790
_cell_length_c 6.9205
_cell_angle_alpha 90.00
_cell_angle_beta 90.00
_cell_angle_gamma 90.00
_space_group_name_H-M_alt 'P 1'
_space_group_IT_number 1
loop_
_space_group_symop_operation_xyz
'x,y,z'
loop_
_atom_site_label
_atom_site_type_symbol
_atom_site_fract_x
_atom_site_fract_y
_atom_site_fract_z
Co1 Co 0.0000 0.0000 0.0000
Tc1 Tc 0.0000 0.0000 0.5838
Tc2 Tc 0.5000 0.5000 0.7887
Pb1 Pb 0.5000 0.5000 0.2681
# * space group: P4mm (99)
# * density of states at the Fermi level: 3.5 states/eV/cell
# * theoretical density: 11.7 Mg/m³
# * crystal system: tetragonal
# * energy of formation: 430 meV/atom

[3]
# CoTc2Pb (PBE, optimized geometry)
data_CoTc2Pb
_chemical_formula_sum 'Co1 Tc2 Pb1'
_cell_length_a 3.7404
_cell_length_b 3.7404
_cell_length_c 4.4831
_cell_angle_alpha 90.00
_cell_angle_beta 90.00
_cell_angle_gamma 90.00
_space_group_name_H-M_alt 'P 1'
_space_group_IT_number 1
loop_
_space_group_symop_operation_xyz
'x,y,z'
loop_
_atom_site_label
_atom_site_type_symbol
_atom_site_fract_x
_atom_site_fract_y
_atom_site_fract_z
Co1 Co 0.0000 0.0000 0.0000
Tc1 Tc 0.0000 0.5000 0.5000
Tc2 Tc 0.5000 0.0000 0.5000
Pb1 Pb 0.5000 0.5000 0.0000
# * space group: P4/mmm (123)
# * density of states at the Fermi level: 5.3 states/eV/cell
# * theoretical density: 12.2 Mg/m³
# * crystal system: tetragonal
# * energy of formation: 646 meV/atom